10
Lattice="7.711 -1.766 0.000 7.711 1.766 0.000 -6.143 0.000 8.008" Properties=species:S:1:pos:R:3 comment="Fe2BrClO PBE with a Hubbard U optimized geometry" spacegroup="No. 12" total_energy_ev_per_cell=-49.83 m_tot_mub_per_cell=16.00 pbc="T T T"
Fe -1.669 0.000 3.835
Fe 4.604 0.000 1.432
Fe 4.675 0.000 6.576
Fe 10.948 0.000 4.173
Br 2.181 0.000 0.396
Br 7.098 0.000 7.611
Cl 1.951 0.000 5.135
Cl 7.327 0.000 2.873
O -2.854 0.000 5.435
O 12.133 0.000 2.573